No. 1
A geometry-optimized NdHfAs2 structure. Source: Alexandria, functional PBE.

Unit cell a=7.059 b=7.059 c=7.059 alpha=33.05 beta=33.05 gamma=33.05
Element x y z (fractional)
Nd 0.000 0.000 0.000
Hf 0.500 0.500 0.500
As 0.241 0.241 0.241
As 0.759 0.759 0.759

Properties
**M_tot**: 0.00 μB/cell
**Energy of formation**: -4.97 eV/f.u.

---

No. 2
A geometry-optimized MnHgBr2 structure. Source: Alexandria, functional PBE.

Unit cell a=6.118 b=6.118 c=6.118 alpha=145.51 beta=113.68 gamma=76.94
Element x y z (fractional)
Mn 0.000 0.000 0.000
Hg 0.228 0.728 0.500
Br 0.469 0.469 0.000
Br 0.814 0.314 0.500

Properties
**M_tot**: 5.00 μB/cell
**Total energy**: -3.437 eV/atom

---

No. 3
A geometry-optimized ZrSb2ICl structure. Source: Alexandria, functional PBE.

Unit cell a=5.607 b=5.607 c=5.581 alpha=90.00 beta=90.00 gamma=90.00
Element x y z (fractional)
Zr 0.000 0.000 0.000
Sb 0.000 0.500 0.000
Sb 0.500 0.000 0.000
I 0.000 0.000 0.500
Cl 0.500 0.500 0.500

Properties
**M_tot**: 0.00 μB/cell
**Total energy**: -4.045 eV/atom

---

Values of theoretical density, in order: 8.430, 5.930, 4.704, all in g/cm³.